(1)
The following is a PBE-GGA calculation of an optimized crystal structure of Ga3PW, from Alexandria via LeMat-Bulk.

Cell lengths 4.9364, 4.9364, 4.9364 Å; angles 90.00, 90.00, 90.00 degrees
Atoms (fractional coordinates):
Ga: 0.0000 0.0000 0.5000
Ga: 0.0000 0.5000 0.0000
Ga: 0.5000 0.0000 0.0000
P: 0.5000 0.5000 0.5000
W: 0.0000 0.0000 0.0000

Output
* crystal system: cubic
* M_tot: 1.9 μB per cell
* energy of formation from the pure elements: 1039 meV per atom
* relative energy among the computed polymorphs: 0 meV per atom



(2)
The following is a PBE-GGA calculation of an optimized crystal structure of DyYGaGe, from Alexandria via LeMat-Bulk.

Cell lengths 4.0072, 4.3257, 10.7997 Å; angles 90.00, 90.00, 90.00 degrees
Atoms (fractional coordinates):
Dy: 0.0000 0.0000 0.0000
Dy: 0.0000 0.5000 0.5000
Y: 0.5000 0.0000 0.2795
Y: 0.5000 0.5000 0.7795
Ga: 0.5000 0.0000 0.5599
Ga: 0.5000 0.5000 0.0599
Ge: 0.0000 0.0000 0.7187
Ge: 0.0000 0.5000 0.2187

Output
* crystal system: orthorhombic
* M_tot: 0.0 μB per cell
* energy of formation from the pure elements: -808 meV per atom
* relative energy among the computed polymorphs: 0 meV per atom



(3)
The following is a PBE-GGA calculation of an optimized crystal structure of Tb2NdZn2Ge2, from Alexandria via LeMat-Bulk.

Cell lengths 11.5244, 11.5244, 11.5244 Å; angles 20.82, 20.82, 20.82 degrees
Atoms (fractional coordinates):
Tb: 0.1237 0.1237 0.1237
Tb: 0.8763 0.8763 0.8763
Nd: 0.0000 0.0000 0.0000
Zn: 0.3936 0.3936 0.3936
Zn: 0.6064 0.6064 0.6064
Ge: 0.2656 0.2656 0.2656
Ge: 0.7344 0.7344 0.7344

Output
* crystal system: trigonal
* M_tot: 0.0 μB per cell
* energy of formation from the pure elements: -468 meV per atom



(4)
The following is a PBE-GGA calculation of an optimized crystal structure of AlAs3, from Alexandria via LeMat-Bulk.

Cell lengths 5.4161, 7.6996, 3.7753 Å; angles 90.00, 90.00, 90.00 degrees
Atoms (fractional coordinates):
Al: 0.0000 0.0000 0.0000
Al: 0.5000 0.5000 0.0000
As: 0.0000 0.2434 0.5000
As: 0.0000 0.5000 0.0000
As: 0.0000 0.7566 0.5000
As: 0.5000 0.0000 0.0000
As: 0.5000 0.2566 0.5000
As: 0.5000 0.7434 0.5000

Output
* crystal system: orthorhombic
* M_tot: 0.0 μB per cell
* energy of formation from the pure elements: -9 meV per atom
* relative energy among the computed polymorphs: 92 meV per atom